# PrSm3Tm6, optimized geometry, DFT PBE
data_PrSm3Tm6
_symmetry_space_group_name_H-M 'R 3'
_symmetry_Int_Tables_number 146
_symmetry_space_group_name_Hall 'R 3'
_cell_length_a 9.8469
_cell_length_b 9.8469
_cell_length_c 11.5566
_cell_angle_alpha 90.00
_cell_angle_beta 90.00
_cell_angle_gamma 120.00
loop_
_atom_site_label
_atom_site_fract_x
_atom_site_fract_y
_atom_site_fract_z
_atom_site_occupancy
Pr1 0.0000 0.0000 0.0000 1
Sm1 0.0000 0.0000 0.2523 1
Sm2 0.0000 0.0000 0.5000 1
Sm3 0.0000 0.0000 0.7480 1
Tm1 0.9999 0.3296 0.9995 1
Tm2 0.9999 0.6723 0.4997 1
# Total DFT energy (no corrections) (eV for the cell shown): -128.12
# Energy of formation (eV/f.u.): 3.06